# 1
First-principles (PBE) data for RbGeF6 after structural relaxation, as listed in Alexandria via LeMat-Bulk.

abc: 5.146 5.146 5.146
angles: 97.02 97.02 97.02
Each line ends with the local moment (μB).
Positions (direct):
1 F 0.417 0.749 0.749  0.16
2 F 0.749 0.417 0.749  0.16
3 F 0.749 0.749 0.417  0.16
4 Ge 0.500 0.500 0.500  -0.02
5 Rb 0.000 0.000 0.000  0.00
6 F 0.251 0.251 0.583  0.16
7 F 0.583 0.251 0.251  0.16
8 F 0.251 0.583 0.251  0.16

Results
Energy relative to the elements, uncorrected ... -2260 meV/atom
Volume ... 16.61 Å³/atom
Calculated total energy ... -4.3614 eV/atom

# 2
First-principles (PBE) data for PaTiFeCo after structural relaxation, as listed in Alexandria via LeMat-Bulk.

abc: 4.468 4.468 4.468
angles: 60.00 60.00 60.00
Each line ends with the local moment (μB).
Positions (direct):
1 Co 0.750 0.750 0.750  0.20
2 Pa 0.500 0.500 0.500  -0.19
3 Ti 0.000 0.000 0.000  -0.27
4 Fe 0.250 0.250 0.250  0.91

Results
ΔE_f ... -99 meV per atom
Volume ... 15.76 Å³/atom
Calculated total energy ... -8.3391 eV/atom

# 3
First-principles (PBE) data for Cd2Ag4Hg after structural relaxation, as listed in Alexandria via LeMat-Bulk.

abc: 4.045 4.045 10.202
angles: 101.43 101.43 90.00
Positions (direct):
1 Ag 0.141 0.141 0.282
2 Ag 0.859 0.859 0.718
3 Ag 0.250 0.750 0.500
4 Hg 0.000 0.000 0.000
5 Cd 0.369 0.369 0.738
6 Ag 0.750 0.250 0.500
7 Cd 0.631 0.631 0.262

Results
ΔE_f ... 68 meV per atom
Volume ... 22.89 Å³/atom
Calculated total energy ... -1.8663 eV/atom

# 4
First-principles (PBE) data for RuWAu after structural relaxation, as listed in Alexandria via LeMat-Bulk.

abc: 6.145 6.145 6.145
angles: 152.81 152.81 38.84
Positions (direct):
1 W 0.320 0.320 0.000
2 Ru 0.680 0.680 0.000
3 Au 0.000 0.000 0.000

Results
ΔE_f ... 216 meV per atom
Volume ... 16.13 Å³/atom
Calculated total energy ... -8.2861 eV/atom

# 5
First-principles (PBE) data for Sm2Te2I after structural relaxation, as listed in Alexandria via LeMat-Bulk.

abc: 4.427 6.156 7.708
angles: 113.54 106.69 90.00
Positions (direct):
1 Te 0.657 0.657 0.315
2 Te 0.343 0.343 0.685
3 I 0.000 0.000 0.000
4 Sm 0.319 0.819 0.638
5 Sm 0.681 0.181 0.362

Results
Energy relative to the elements, uncorrected ... -1339 meV/atom
Volume ... 36.58 Å³/atom
Calculated total energy ... -4.7930 eV/atom

# 6
First-principles (PBE) data for SrGa2Cu2 after structural relaxation, as listed in Alexandria via LeMat-Bulk.

abc: 7.847 7.847 2.978
angles: 90.00 90.00 90.00
Positions (direct):
1 Ga 0.344 0.156 0.500
2 Cu 0.376 0.876 0.000
3 Cu 0.876 0.624 0.000
4 Cu 0.624 0.124 0.000
5 Sr 0.000 0.000 0.000
6 Ga 0.156 0.656 0.500
7 Ga 0.656 0.844 0.500
8 Ga 0.844 0.344 0.500
9 Sr 0.500 0.500 0.000
10 Cu 0.124 0.376 0.000

Results
ΔE_f ... -29 meV per atom
Volume ... 18.33 Å³/atom
Calculated total energy ... -3.2145 eV/atom

# 7
First-principles (PBE) data for SrRhPb2 after structural relaxation, as listed in Alexandria via LeMat-Bulk.

abc: 4.852 4.088 6.211
angles: 72.44 90.00 90.00
Positions (direct):
1 Sr 0.500 0.733 0.687
2 Rh 0.000 0.331 0.464
3 Pb 0.500 0.435 0.242
4 Pb 0.000 0.000 0.107

Results
ΔE_f ... -105 meV per atom
Volume ... 29.37 Å³/atom
Calculated total energy ... -4.2170 eV/atom

Please write out number 7 again, unchanged.
First-principles (PBE) data for SrRhPb2 after structural relaxation, as listed in Alexandria via LeMat-Bulk.

abc: 4.852 4.088 6.211
angles: 72.44 90.00 90.00
Positions (direct):
1 Sr 0.500 0.733 0.687
2 Rh 0.000 0.331 0.464
3 Pb 0.500 0.435 0.242
4 Pb 0.000 0.000 0.107

Results
ΔE_f ... -105 meV per atom
Volume ... 29.37 Å³/atom
Calculated total energy ... -4.2170 eV/atom